MgTcSb | the Alexandria database | PBE | relaxed; energy relative to the lowest polymorph listed for this composition = 475 meV per atom; space-group type = Fmm2, No. 42; calculated volume = 20.4 Å³ per atom; VASP energy = -5.024 eV/atom; ΔE_f (raw) = 0.337 eV per atom
1.0
0.000 2.546 6.824
1.764 0.000 6.824
1.764 2.546 0.000
Mg Tc Sb
1 1 1
Direct
0.000 0.000 0.000 Mg
0.350 0.350 0.650 Tc
0.706 0.706 0.294 Sb



Be2Rh | the Alexandria database | PBE | relaxed; space-group type = P6/mmm, No. 191; DFT formation energy = -1.6 eV per formula unit; calculated volume = 10.0 Å³ per atom; VASP energy = -5.455 eV/atom
1.0
3.599 0.000 0.000
-1.800 3.117 0.000
0.000 0.000 2.662
Be Rh
2 1
Direct
0.333 0.667 0.000 Be
0.667 0.333 0.000 Be
0.000 0.000 0.500 Rh



Question: Which of these has the lowest VASP energy?
Answer: Be2Rh